First-principles (PBE with a Hubbard U) data for a relaxed structure of RbVF3, as listed in Alexandria.

CIF file:
```
data_RbVF3
_chemical_formula_sum 'Rb1 V1 F3'
_cell_length_a 4.271
_cell_length_b 4.271
_cell_length_c 4.271
_cell_angle_alpha 90.00
_cell_angle_beta 90.00
_cell_angle_gamma 90.00
_symmetry_space_group_name_H-M 'P 1'
_symmetry_Int_Tables_number 1
loop_
_symmetry_equiv_pos_as_xyz
'x,y,z'
loop_
_atom_site_label
_atom_site_fract_x
_atom_site_fract_y
_atom_site_fract_z
Rb1 0.000 0.000 0.000
V1 0.500 0.500 0.500
F1 0.000 0.500 0.500
F2 0.500 0.000 0.500
F3 0.500 0.500 0.000
```

symmetry: Pm-3m (221)
calculated volume: 77.9 Å³ per cell
final energy: -5.56 eV per atom
magnetization: 3.0 Bohr magnetons per cell